Here is a relaxed structure of GdPaCu from OQMD via LeMat-Bulk. Energies are from GGA-PBE.

Output
* space-group type: P4/nmm
* DFT formation energy: 0.132 eV/atom
* total energy: -5.823 eV per atom

Cell lengths 3.5059, 3.5059, 11.1338 Å; angles 90.00, 90.00, 90.00 degrees
With the nearest neighbours (Å) after each atom.
Sites, in units of the cell vectors:
Gd1 0.2500 0.2500 0.2134  4 Cu 2.95
Gd2 0.7500 0.7500 0.7866  4 Cu 2.95
Pa1 0.2500 0.2500 0.5800  4 Pa 3.05, 4 Gd 3.38
Pa2 0.7500 0.7500 0.4200  4 Pa 3.05, 4 Gd 3.38
Cu1 0.2500 0.7500 0.0000  4 Cu 2.48
Cu2 0.7500 0.2500 0.0000  4 Cu 2.48